Record 1
Crystalline Hf2ScTiMo at its relaxed geometry, computed with PBE.

Energy of formation = 1.199 eV/atom
Space group = P4/mmm (123)
DFT total energy = -38.97 eV/cell
Crystal system = tetragonal

Structure (POSCAR):
```
Hf2ScTiMo
1.0
4.869 0.000 0.000
0.000 4.869 0.000
0.000 0.000 4.653
Hf Sc Ti Mo
2 1 1 1
Direct
0.000 0.500 0.000
0.500 0.000 0.000
0.000 0.000 0.500
0.000 0.000 0.000
0.500 0.500 0.500
```



Record 2
Crystalline Ba2Na7Li at its relaxed geometry, computed with PBE.

Relative energy among the computed polymorphs = 58 meV per atom
Energy of formation = 0.109 eV/atom
Space group = Fm-3m (225)
DFT total energy = -13.90 eV/cell
Crystal system = cubic

Structure (POSCAR):
```
Ba2Na7Li
1.0
0.000 5.992 5.992
5.992 0.000 5.992
5.992 5.992 0.000
Ba Na Li
2 7 1
Direct
0.250 0.250 0.250
0.750 0.750 0.750
0.000 0.000 0.000
0.258 0.258 0.742
0.258 0.742 0.258
0.258 0.742 0.742
0.742 0.258 0.258
0.742 0.258 0.742
0.742 0.742 0.258
0.500 0.500 0.500
```



Record 3
Crystalline CaTi2O4 at its relaxed geometry, computed with PBE.

Relative energy among the computed polymorphs = 83 meV per atom
Space group = Fd-3m (227)
DFT total energy = -115.34 eV/cell
Uncorrected formation energy = -276 kJ per mole of atoms
Crystal system = cubic

Structure (POSCAR):
```
CaTi2O4
1.0
0.000 4.435 4.435
4.435 0.000 4.435
4.435 4.435 0.000
Ca Ti O
2 4 8
Direct
0.125 0.125 0.125
0.875 0.875 0.875
0.000 0.500 0.500
0.500 0.000 0.500
0.500 0.500 0.000
0.500 0.500 0.500
0.267 0.267 0.267
0.267 0.267 0.699
0.267 0.699 0.267
0.301 0.733 0.733
0.699 0.267 0.267
0.733 0.301 0.733
0.733 0.733 0.301
0.733 0.733 0.733
```



Record 4
Crystalline Mg3Mo at its relaxed geometry, computed with PBE.

Relative energy among the computed polymorphs = 158 meV per atom
Energy of formation = 0.355 eV/atom
Space group = I4/mmm (139)
DFT total energy = -28.39 eV/cell
Crystal system = tetragonal

Structure (POSCAR):
```
Mg3Mo
1.0
-2.088 2.088 8.646
2.088 -2.088 8.646
2.088 2.088 -8.646
Mg Mo
6 2
Direct
0.000 0.500 0.500
0.127 0.127 0.000
0.250 0.750 0.500
0.500 0.000 0.500
0.750 0.250 0.500
0.873 0.873 0.000
0.380 0.380 0.000
0.620 0.620 0.000
```



| no. | ρ (Mg/m³) |
| --- | --- |
| 1 | 8.21 |
| 2 | 1.71 |
| 3 | 3.80 |
| 4 | 3.72 |